No. 1
First-principles (PBE) data for CoAs2 after structural relaxation, as listed in the Alexandria database.

Geometry as extended XYZ:
```
6
Lattice="-0.7365 -0.8039 -2.9194 -3.9131 -2.7946 1.7567 -3.5426 4.7075 -0.4025" Properties=species:S:1:pos:R:3 pbc="T T T"
As -2.9907 2.4689 0.0747
As -4.4651 -0.5560 1.2795
As -6.1216 1.7408 -0.5983
As -2.0706 -0.6318 -0.9670
Co 0.0000 0.0000 0.0000
Co -4.0961 0.5545 -0.7826
```

**Crystal system**: orthorhombic
**Density**: 7.4 Mg/m³
**Formation enthalpy at 0 K**: -0.307 eV per atom
**Calculated total energy**: -5.7757 eV per atom

=====

No. 2
First-principles (PBE) data for Co3As after structural relaxation, as listed in the Alexandria database.

Geometry as extended XYZ:
```
4
Lattice="-3.1173 -2.0809 -0.0014 0.9410 -1.4083 -2.0603 2.5841 -3.8723 1.8354" Properties=species:S:1:pos:R:3 pbc="T T T"
As 0.0000 0.0000 0.0000
Co 1.1988 -5.1710 -0.4094
Co 1.7626 -2.6403 -0.1125
Co -0.7910 -2.1906 0.1830
```

**Crystal system**: monoclinic
**Density**: 8.8 Mg/m³
**Formation enthalpy at 0 K**: 0.078 eV per atom
**Calculated total energy**: -6.4137 eV per atom

=====

No. 3
First-principles (PBE) data for CoAs3 after structural relaxation, as listed in the Alexandria database.

Geometry as extended XYZ:
```
8
Lattice="4.4606 0.0000 0.0000 0.0000 5.1900 -2.9964 0.0000 0.0000 5.9929" Properties=species:S:1:pos:R:3 pbc="T T T"
Co 3.2295 1.7300 2.9964
Co 0.9992 3.4600 0.0000
As 2.1143 1.6661 -0.9618
As 4.3446 3.5239 3.9583
As 4.3446 0.0001 4.0691
As 2.1143 3.5240 2.0345
As 2.1143 5.1899 -1.0727
As 4.3446 1.6660 0.9619
```

**Crystal system**: hexagonal
**Excess energy over the best structure of this formula in the dataset**: 336 meV/atom
**Density**: 6.8 Mg/m³
**Formation enthalpy at 0 K**: 0.028 eV per atom
**Calculated total energy**: -5.2356 eV per atom

=====

No. 4
First-principles (PBE) data for Co3As after structural relaxation, as listed in the Alexandria database.

Geometry as extended XYZ:
```
4
Lattice="4.3099 0.0003 0.0000 1.2928 4.1115 0.0000 -2.8013 -2.0559 2.5497" Properties=species:S:1:pos:R:3 pbc="T T T"
As 0.0000 0.0000 0.0000
Co 0.6464 2.0557 1.2749
Co 2.8013 2.0559 0.0000
Co 2.1550 0.0001 1.2749
```

**Crystal system**: tetragonal
**Density**: 9.3 Mg/m³
**Formation enthalpy at 0 K**: -0.009 eV per atom
**Calculated total energy**: -6.5012 eV per atom

=====

No. 5
First-principles (PBE) data for Co3As after structural relaxation, as listed in the Alexandria database.

Geometry as extended XYZ:
```
4
Lattice="-0.6962 -0.4106 -2.6160 2.2934 -3.3109 -0.0906 -3.3184 -2.3328 1.2493" Properties=species:S:1:pos:R:3 pbc="T T T"
As -3.2676 -2.2972 1.2302
Co -1.9930 -1.3617 -0.6888
Co -1.9973 -3.8263 -0.3007
Co 0.0063 -2.4572 0.3840
```

**Crystal system**: orthorhombic
**Density**: 8.9 Mg/m³
**Formation enthalpy at 0 K**: 0.073 eV per atom
**Calculated total energy**: -6.4183 eV per atom

=====

No. 6
First-principles (PBE) data for CoAs3 after structural relaxation, as listed in the Alexandria database.

Geometry as extended XYZ:
```
4
Lattice="-1.0664 -2.7716 0.5390 1.5914 1.4433 2.1198 -7.4617 3.4973 3.2204" Properties=species:S:1:pos:R:3 pbc="T T T"
As -7.0079 3.2846 3.0246
As -4.1847 1.9614 1.8061
As -2.0459 -0.4923 1.8711
Co -5.7768 1.2564 3.4813
```

**Crystal system**: hexagonal
**Excess energy over the best structure of this formula in the dataset**: 531 meV/atom
**Density**: 6.7 Mg/m³
**Formation enthalpy at 0 K**: 0.223 eV per atom
**Calculated total energy**: -5.0406 eV per atom

=====

No. 7
First-principles (PBE) data for CoAs2 after structural relaxation, as listed in the Alexandria database.

Geometry as extended XYZ:
```
9
Lattice="3.3337 -5.7741 0.0000 3.3337 5.7741 0.0000 0.0000 0.0000 3.5344" Properties=species:S:1:pos:R:3 pbc="T T T"
Co 3.3337 1.9247 0.0000
Co 3.3337 -1.9247 0.0000
Co 0.0000 0.0000 1.7672
As 0.9044 -1.5664 0.0000
As 0.9044 1.5664 0.0000
As 4.8587 0.0000 0.0000
As 2.0232 -3.5043 1.7672
As 2.0232 3.5043 1.7672
As 2.6209 0.0000 1.7672
```

**Crystal system**: hexagonal
**Density**: 7.6 Mg/m³
**Formation enthalpy at 0 K**: 0.062 eV per atom
**Calculated total energy**: -5.4064 eV per atom

=====

No. 8
First-principles (PBE) data for CoAs3 after structural relaxation, as listed in the Alexandria database.

Geometry as extended XYZ:
```
8
Lattice="2.2153 6.2440 -3.3845 -2.6674 0.2756 6.9397 3.3699 -0.4831 1.3144" Properties=species:S:1:pos:R:3 pbc="T T T"
Co -0.1973 2.1443 3.8269
Co 3.1152 3.8922 1.0428
As 1.0639 4.9319 1.6181
As 1.2231 2.6347 0.3655
As 2.0037 4.8347 -0.8270
As 1.8540 1.1047 3.2516
As 1.6947 3.4018 4.5042
As 0.9142 1.2018 5.6967
```

**Crystal system**: hexagonal
**Excess energy over the best structure of this formula in the dataset**: 460 meV/atom
**Density**: 5.4 Mg/m³
**Formation enthalpy at 0 K**: 0.152 eV per atom
**Calculated total energy**: -5.1119 eV per atom

=====

No. 9
First-principles (PBE) data for CoAs3 after structural relaxation, as listed in the Alexandria database.

Geometry as extended XYZ:
```
4
Lattice="4.0510 0.0000 0.0000 0.0000 4.0510 0.0000 0.0000 0.0000 4.0510" Properties=species:S:1:pos:R:3 pbc="T T T"
As 0.0000 2.0255 2.0255
As 2.0255 0.0000 2.0255
As 2.0255 2.0255 0.0000
Co 0.0000 0.0000 0.0000
```

**Crystal system**: cubic
**Excess energy over the best structure of this formula in the dataset**: 824 meV/atom
**Density**: 7.1 Mg/m³
**Formation enthalpy at 0 K**: 0.516 eV per atom
**Calculated total energy**: -4.7478 eV per atom

=====

No. 10
First-principles (PBE) data for CoAs3 after structural relaxation, as listed in the Alexandria database.

Geometry as extended XYZ:
```
8
Lattice="-2.6433 -9.3275 1.5106 -3.0952 -6.7810 6.3804 0.2531 8.7015 -4.5267" Properties=species:S:1:pos:R:3 pbc="T T T"
Co -3.8850 -10.9056 5.3423
Co -1.8535 -5.2030 2.5487
As -1.4211 0.9603 0.9268
As -1.1951 -0.3130 -1.5081
As -2.6297 -4.3401 0.4647
As -2.8557 -3.0669 2.8996
As -5.0996 -14.3150 7.0124
As -0.6389 -1.7935 0.8786
```

**Crystal system**: tetragonal
**Excess energy over the best structure of this formula in the dataset**: 656 meV/atom
**Density**: 6.6 Mg/m³
**Formation enthalpy at 0 K**: 0.348 eV per atom
**Calculated total energy**: -4.9153 eV per atom

=====

No. 11
First-principles (PBE) data for Co3As after structural relaxation, as listed in the Alexandria database.

Geometry as extended XYZ:
```
4
Lattice="4.4541 0.0000 0.0000 0.0000 4.4541 0.0000 0.0000 0.0000 4.4541" Properties=species:S:1:pos:R:3 pbc="T T T"
As 0.0000 0.0000 0.0000
Co 2.2270 0.0000 0.0000
Co 0.0000 2.2270 0.0000
Co 0.0000 0.0000 2.2270
```

**Crystal system**: cubic
**Density**: 4.7 Mg/m³
**Formation enthalpy at 0 K**: 1.194 eV per atom
**Calculated total energy**: -5.2978 eV per atom

=====

No. 12
First-principles (PBE) data for Co5As3 after structural relaxation, as listed in the Alexandria database.

Geometry as extended XYZ:
```
32
Lattice="6.1209 -0.0001 0.0000 -0.0001 7.3397 0.0000 0.0000 0.0000 8.7490" Properties=species:S:1:pos:R:3 pbc="T T T"
Co 1.9391 1.8349 2.8009
Co 4.9995 5.5047 1.5736
Co 4.1817 5.5047 5.9481
Co 1.1213 1.8349 7.1754
Co 4.4987 1.8349 2.3292
Co 1.4382 5.5047 2.0453
Co 1.6221 5.5047 6.4197
Co 4.6826 1.8349 6.7037
Co 3.2532 1.8348 0.1017
Co 0.1927 5.5047 4.2728
Co 2.8676 5.5048 8.6473
Co 5.9281 1.8349 4.4762
Co 1.2335 0.3015 0.6112
Co 4.2939 7.0381 3.7633
Co 4.8873 3.9713 8.1378
Co 1.8269 3.3683 4.9857
Co 4.8873 7.0381 8.1378
Co 1.8269 0.3015 4.9857
Co 1.2335 3.3683 0.6112
Co 4.2939 3.9713 3.7633
As 3.5360 1.8349 4.5779
As 0.4755 5.5047 8.5456
As 2.5848 5.5048 4.1711
As 5.6453 1.8349 0.2034
As 0.2889 3.5451 2.7993
As 3.3494 3.7945 1.5752
As 5.8318 7.2149 5.9497
As 2.7715 0.1247 7.1738
As 5.8319 3.7945 5.9496
As 2.7714 3.5451 7.1738
As 0.2890 0.1247 2.7993
As 3.3493 7.2149 1.5752
```

**Crystal system**: orthorhombic
**Excess energy over the best structure of this formula in the dataset**: 0 meV/atom
**Density**: 8.8 Mg/m³
**Formation enthalpy at 0 K**: -0.113 eV per atom
**Calculated total energy**: -6.2973 eV per atom

=====

No. 13
First-principles (PBE) data for Co4As5 after structural relaxation, as listed in the Alexandria database.

Geometry as extended XYZ:
```
18
Lattice="7.3155 0.0000 0.0000 -3.6577 6.3354 0.0000 0.0000 0.0000 5.4845" Properties=species:S:1:pos:R:3 pbc="T T T"
As -2.6114 4.5231 1.3711
As 1.0464 1.8123 1.3711
As 5.2228 0.0000 1.3711
As -1.0464 1.8123 4.1134
As 2.6114 4.5231 4.1134
As 2.0927 0.0000 4.1134
As 3.6577 2.1118 0.0000
As 0.0000 4.2236 2.7422
As 0.0000 4.2236 0.0000
As 3.6577 2.1118 2.7422
Co 0.0000 0.0000 0.0000
Co 0.0000 0.0000 2.7422
Co -1.3040 2.2585 1.3711
Co 2.3538 4.0769 1.3711
Co 2.6079 0.0000 1.3711
Co -2.3538 4.0769 4.1134
Co 1.3040 2.2585 4.1134
Co 4.7076 0.0000 4.1134
```

**Crystal system**: hexagonal
**Density**: 8.0 Mg/m³
**Formation enthalpy at 0 K**: 0.203 eV per atom
**Calculated total energy**: -5.5378 eV per atom

=====

No. 14
First-principles (PBE) data for CoAs2 after structural relaxation, as listed in the Alexandria database.

Geometry as extended XYZ:
```
6
Lattice="0.0000 3.7917 3.7917 3.7917 0.0000 3.7917 3.7917 3.7917 0.0000" Properties=species:S:1:pos:R:3 pbc="T T T"
Co 3.7917 3.7917 3.7917
Co 5.6876 5.6876 5.6876
As 0.9479 2.8438 2.8438
As 2.8438 0.9479 2.8438
As 2.8438 2.8438 0.9479
As 0.9479 0.9479 0.9479
```

**Crystal system**: cubic
**Density**: 6.4 Mg/m³
**Formation enthalpy at 0 K**: 0.939 eV per atom
**Calculated total energy**: -4.5294 eV per atom

=====

No. 15
First-principles (PBE) data for CoAs3 after structural relaxation, as listed in the Alexandria database.

Geometry as extended XYZ:
```
8
Lattice="5.1210 0.0000 0.0000 0.0000 5.1210 0.0000 0.0000 0.0000 5.1210" Properties=species:S:1:pos:R:3 pbc="T T T"
Co 0.0000 0.0000 0.0000
Co 2.5605 2.5605 2.5605
As 3.8407 2.5605 0.0000
As 1.2802 2.5605 0.0000
As 0.0000 3.8407 2.5605
As 0.0000 1.2802 2.5605
As 2.5605 0.0000 1.2802
As 2.5605 0.0000 3.8407
```

**Crystal system**: cubic
**Excess energy over the best structure of this formula in the dataset**: 791 meV/atom
**Density**: 7.0 Mg/m³
**Formation enthalpy at 0 K**: 0.483 eV per atom
**Calculated total energy**: -4.7804 eV per atom

=====

No. 16
First-principles (PBE) data for CoAs2 after structural relaxation, as listed in the Alexandria database.

Geometry as extended XYZ:
```
3
Lattice="-0.9434 0.6907 3.9083 0.0527 -3.0712 2.6846 2.9057 -0.1605 2.8588" Properties=species:S:1:pos:R:3 pbc="T T T"
As 0.5038 -0.6352 2.3629
As 1.5113 -1.9057 7.0888
Co 0.0000 0.0000 0.0000
```

**Crystal system**: cubic
**Density**: 7.2 Mg/m³
**Formation enthalpy at 0 K**: -0.123 eV per atom
**Calculated total energy**: -5.5912 eV per atom

=====

No. 17
First-principles (PBE) data for CoAs2 after structural relaxation, as listed in the Alexandria database.

Geometry as extended XYZ:
```
12
Lattice="3.9177 0.0000 0.0000 0.0000 6.3837 0.0000 0.0000 0.0000 7.6872" Properties=species:S:1:pos:R:3 pbc="T T T"
As 0.9794 6.1180 6.7078
As 2.9383 3.4576 2.8642
As 0.9794 2.9261 4.8230
As 2.9383 0.2658 0.9794
As 0.9794 0.7421 2.9336
As 2.9383 2.4497 6.7772
As 0.9794 3.9340 0.9100
As 2.9383 5.6416 4.7536
Co 0.9794 4.7507 3.3301
Co 2.9383 4.8249 7.1737
Co 0.9794 1.5589 0.5135
Co 2.9383 1.6330 4.3571
```

**Crystal system**: orthorhombic
**Density**: 7.2 Mg/m³
**Formation enthalpy at 0 K**: -0.007 eV per atom
**Calculated total energy**: -5.4752 eV per atom

=====

No. 18
First-principles (PBE) data for Co3As after structural relaxation, as listed in the Alexandria database.

Geometry as extended XYZ:
```
16
Lattice="4.4079 0.0000 0.0000 0.0000 6.4477 0.0000 0.0000 0.0000 6.8789" Properties=species:S:1:pos:R:3 pbc="T T T"
As 2.5705 5.7100 5.1592
As 0.3666 3.9616 1.7197
As 4.0413 2.4861 5.1592
As 1.8374 0.7377 1.7197
Co 0.4193 0.2184 5.1592
Co 2.6233 3.0054 1.7197
Co 1.7846 3.4423 5.1592
Co 3.9886 6.2293 1.7197
Co 2.6056 1.2092 6.4847
Co 0.4017 2.0147 0.3942
Co 4.0062 4.4331 3.8336
Co 1.8023 5.2385 3.0452
Co 1.8023 5.2385 0.3942
Co 4.0062 4.4331 6.4847
Co 0.4017 2.0147 3.0452
Co 2.6056 1.2092 3.8336
```

**Crystal system**: orthorhombic
**Density**: 8.6 Mg/m³
**Formation enthalpy at 0 K**: 0.056 eV per atom
**Calculated total energy**: -6.4353 eV per atom

=====

No. 19
First-principles (PBE) data for Co3As after structural relaxation, as listed in the Alexandria database.

Geometry as extended XYZ:
```
4
Lattice="-3.9077 -1.5058 -1.1303 -3.4536 -2.1604 1.4900 -2.3940 3.2696 1.2317" Properties=species:S:1:pos:R:3 pbc="T T T"
As 0.0000 0.0000 0.0000
Co -4.8776 -0.1983 0.7957
Co -7.3339 -0.3370 1.1867
Co -2.4214 -0.0596 0.4047
```

**Crystal system**: monoclinic
**Density**: 8.9 Mg/m³
**Formation enthalpy at 0 K**: 0.072 eV per atom
**Calculated total energy**: -6.4198 eV per atom

=====

No. 20
First-principles (PBE) data for CoAs2 after structural relaxation, as listed in the Alexandria database.

Geometry as extended XYZ:
```
3
Lattice="-0.4464 -2.0202 2.5545 2.3816 -0.6108 -2.1820 3.2422 2.7757 2.7617" Properties=species:S:1:pos:R:3 pbc="T T T"
As 2.8203 0.4393 2.9553
As 2.3570 -0.2946 0.1789
Co 0.0000 0.0000 0.0000
```

**Crystal system**: trigonal
**Density**: 7.3 Mg/m³
**Formation enthalpy at 0 K**: -0.029 eV per atom
**Calculated total energy**: -5.4972 eV per atom